## Pm5As2Se2 (PBE)

Data for a relaxed structure of Pm5As2Se2.

Raw formation energy = -1.40 eV/atom
Final energy = -5.8473 eV per atom
Spin magnetization = 0.0 Bohr magnetons per cell
Calculated volume = 25.8 Å³/atom

Unit cell a=14.9640 b=7.8531 c=7.8927 alpha=90.00 beta=90.00 gamma=90.00
Last column: nearest neighbours and their distance in Å.
Space group Cmce (No. 64)
Inequivalent atoms, fractional coordinates:
Pm: 0.0000 0.0000 0.0000 [4 per cell]  2 Se 2.95, 4 As 3.01-3.03
Pm: 0.1347 0.1591 0.3444 [16 per cell]  3 As 2.99-3.13, 3 Se 3.07-3.13
As: 0.0000 0.1449 0.6442 [8 per cell]  8 Pm 2.99-3.13, 1 As 3.22
Se: 0.1971 0.0000 0.0000 [8 per cell]  7 Pm 2.95-3.13